The following is a PBE calculation of an optimized crystal structure of Pm4B3AsRh12, from Alexandria.

The structure in extended XYZ format:
```
20
Lattice="7.511 0.000 0.000 -2.504 7.081 0.000 -2.504 -3.541 6.132" Properties=species:S:1:pos:R:3 pbc="T T T"
B -2.504 1.770 3.066
B 2.504 -1.770 3.066
B 2.504 3.541 0.000
Rh 1.342 1.898 0.000
Rh 3.755 0.000 3.066
Rh 1.342 -0.949 1.644
Rh -1.342 0.949 1.644
Rh 1.252 -0.885 4.599
Rh -1.252 3.541 3.066
Rh -1.252 0.885 4.599
Rh 3.665 -2.592 4.489
Rh -3.665 2.592 4.489
Rh 3.665 5.183 0.000
Rh 1.252 4.426 1.533
Rh 3.755 2.655 1.533
Pm 1.252 1.770 3.066
Pm -1.252 -1.770 3.066
Pm 3.755 0.000 0.000
Pm -1.252 3.541 0.000
As 0.000 0.000 0.000
```

Final energy in eV/atom: -7.27
Magnetic moment in μB/f.u.: 0.000
Formation enthalpy at 0 K in eV per atom: -0.67

---

The following is a PBE calculation of an optimized crystal structure of PrBAs, from Alexandria.

The structure in extended XYZ format:
```
12
Lattice="3.240 0.000 0.000 0.000 9.024 0.000 0.000 0.000 8.477" Properties=species:S:1:pos:R:3 pbc="T T T"
B 0.810 8.865 3.958
B 2.430 0.159 4.519
B 2.430 4.353 0.281
B 0.810 4.671 8.196
As 0.810 8.330 1.920
As 0.810 5.206 6.159
As 2.430 0.694 6.557
As 2.430 3.818 2.318
Pr 0.810 1.979 0.314
Pr 2.430 7.045 8.163
Pr 2.430 6.491 3.924
Pr 0.810 2.533 4.553
```

Final energy in eV/atom: -5.85
Magnetic moment in μB/f.u.: 0.000
Formation enthalpy at 0 K in eV per atom: -0.48

---

The following is a PBE calculation of an optimized crystal structure of Pr2BAsPt6, from Alexandria.

The structure in extended XYZ format:
```
20
Lattice="-1.859 -1.870 -5.209 -5.386 -4.005 3.360 -5.309 6.710 -0.514" Properties=species:S:1:pos:R:3 pbc="T T T"
Pr -5.639 4.120 0.534
Pr -2.666 0.362 0.822
Pr -6.305 -1.947 -0.323
Pr -8.640 1.005 -0.549
Pt -3.081 0.127 -2.218
Pt -3.568 -2.768 0.725
Pt -4.551 -3.756 -2.028
Pt -5.848 -4.473 2.005
Pt -4.082 1.924 -4.194
Pt -5.890 -1.711 2.717
Pt -6.279 0.302 -2.682
Pt -3.123 2.889 -1.506
Pt -5.738 3.486 -2.475
Pt -5.402 1.183 -0.226
Pt -6.748 -5.378 -0.516
Pt -8.541 1.640 2.460
B -4.658 1.622 -2.192
B -4.313 -3.206 2.690
As -6.300 0.645 2.017
As -2.671 -2.229 -1.518
```

Final energy in eV/atom: -6.54
Magnetic moment in μB/f.u.: 0.000
Formation enthalpy at 0 K in eV per atom: -0.83

---

The following is a PBE calculation of an optimized crystal structure of PrBAsRh3, from Alexandria.

The structure in extended XYZ format:
```
12
Lattice="5.849 0.000 0.000 0.000 5.773 0.000 0.000 -2.886 6.044" Properties=species:S:1:pos:R:3 pbc="T T T"
Pr 4.387 0.000 3.117
Pr 1.462 2.886 2.928
Rh 0.000 4.322 0.000
Rh 2.924 1.451 0.000
Rh 4.387 2.886 3.857
Rh 1.462 0.000 2.188
Rh 0.000 1.451 0.000
Rh 2.924 4.322 0.000
As 4.387 2.886 1.481
As 1.462 0.000 4.564
B 4.387 2.886 5.931
B 1.462 0.000 0.113
```

Final energy in eV/atom: -7.04
Magnetic moment in μB/f.u.: 0.000
Formation enthalpy at 0 K in eV per atom: -0.68

---

The following is a PBE calculation of an optimized crystal structure of Pr3B2AsRh9, from Alexandria.

The structure in extended XYZ format:
```
15
Lattice="-4.351 -3.478 -2.706 5.965 -0.821 -1.450 0.646 -5.142 5.571" Properties=species:S:1:pos:R:3 pbc="T T T"
Rh -0.046 -4.902 2.584
Rh -2.176 -1.739 -1.353
Rh 2.982 -0.410 -0.725
Rh 2.306 -4.539 -1.169
Rh 1.556 -2.540 0.763
Rh 4.329 -2.922 0.089
Rh -2.069 -6.519 1.326
Rh 0.807 -2.149 -2.078
Rh 0.704 -6.901 0.652
Pr 2.958 -5.141 1.852
Pr 0.000 0.000 0.000
Pr -0.698 -4.300 -0.437
B -0.360 -6.991 2.478
B 2.619 -2.450 -1.063
As 0.323 -2.571 2.785
```

Final energy in eV/atom: -7.21
Magnetic moment in μB/f.u.: 0.000
Formation enthalpy at 0 K in eV per atom: -0.65

---

The following is a PBE calculation of an optimized crystal structure of B3AsPt, from Alexandria.

The structure in extended XYZ format:
```
5
Lattice="4.069 0.000 0.000 0.000 4.069 0.000 0.000 0.000 4.069" Properties=species:S:1:pos:R:3 pbc="T T T"
B 0.000 2.035 0.000
B 2.035 0.000 0.000
B 0.000 0.000 2.035
As 0.000 0.000 0.000
Pt 2.035 2.035 2.035
```

Final energy in eV/atom: -4.29
Magnetic moment in μB/f.u.: 0.000
Formation enthalpy at 0 K in eV per atom: 1.86

---

The following is a PBE calculation of an optimized crystal structure of B3AsPt, from Alexandria.

The structure in extended XYZ format:
```
5
Lattice="-1.275 -2.048 -3.401 2.510 -3.183 0.976 -3.076 -1.749 2.206" Properties=species:S:1:pos:R:3 pbc="T T T"
B -1.538 -0.874 1.103
B 1.255 -1.592 0.488
B -0.637 -1.024 -1.700
Pt 0.000 0.000 0.000
As -0.920 -3.490 -0.109
```

Final energy in eV/atom: -4.86
Magnetic moment in μB/f.u.: 0.000
Formation enthalpy at 0 K in eV per atom: 1.29

---

The following is a PBE calculation of an optimized crystal structure of BAsPt3, from Alexandria.

The structure in extended XYZ format:
```
5
Lattice="4.676 0.000 0.000 0.000 4.676 0.000 0.000 0.000 4.676" Properties=species:S:1:pos:R:3 pbc="T T T"
B 2.338 2.338 2.338
As 0.000 0.000 0.000
Pt 2.338 0.000 0.000
Pt 0.000 0.000 2.338
Pt 0.000 2.338 0.000
```

Final energy in eV/atom: -4.55
Magnetic moment in μB/f.u.: 0.000
Formation enthalpy at 0 K in eV per atom: 1.34

---

Here are the calculated DOS at the Fermi energy numbers, same order: 0.76; 0.31; 0.37; 0.34; 0.68; 0.46; 0.88; 0.77 (states/eV per atom).